DFT (PBE-GGA) results for an optimized crystal structure of HfNiH.

Calculated values
Density   11.403 g/cm3
Space group   P4/nmm
Excess energy over the best structure of this formula in the dataset   0.000 eV per atom
Spin magnetization   0.00 μB/cell

Lattice parameters (Å, degrees): 3.221 3.222 6.683 90.00 90.00 90.00
Atoms (fractional coordinates):
Hf 0.110 0.373 0.253
Hf 0.610 0.873 0.860
Ni 0.110 0.372 0.653
Ni 0.610 0.873 0.460
H 0.110 0.873 0.056
H 0.610 0.373 0.056


DFT (PBE-GGA) results for an optimized crystal structure of Hf2NiH.

Calculated values
Density   11.836 g/cm3
Space group   R-3m
Excess energy over the best structure of this formula in the dataset   0.281 eV per atom
Spin magnetization   0.00 μB/cell

Lattice parameters (Å, degrees): 3.297 3.297 6.496 75.30 75.30 60.00
Atoms (fractional coordinates):
Ni 0.500 0.500 0.500
Hf 0.264 0.264 0.209
Hf 0.736 0.736 0.791
H 0.000 0.000 0.000


DFT (PBE-GGA) results for an optimized crystal structure of HfNi6H.

Calculated values
Density   9.674 g/cm3
Space group   R-3m
Spin magnetization   1.56 μB/cell
Total DFT energy (no corrections)   -48.6 eV for the cell shown

Lattice parameters (Å, degrees): 4.979 4.979 5.132 60.98 60.98 60.00
Atoms (fractional coordinates):
Hf 0.500 0.500 0.500
Ni 0.901 0.901 0.774
Ni 0.424 0.901 0.774
Ni 0.099 0.576 0.226
Ni 0.576 0.099 0.226
Ni 0.099 0.099 0.226
Ni 0.901 0.424 0.774
H 0.000 0.000 0.000


DFT (PBE-GGA) results for an optimized crystal structure of Hf2NiH4.

Calculated values
Density   10.533 g/cm3
Space group   P2_1/m
Spin magnetization   0.00 μB/cell
Total DFT energy (no corrections)   -82.4 eV for the cell shown

Lattice parameters (Å, degrees): 5.376 3.983 6.631 90.00 111.24 90.00
Atoms (fractional coordinates):
Hf 0.803 0.750 0.086
Hf 0.197 0.250 0.914
Hf 0.228 0.250 0.443
Hf 0.772 0.750 0.557
Ni 0.351 0.750 0.204
Ni 0.649 0.250 0.796
H 0.591 0.484 0.258
H 0.110 0.750 0.939
H 0.890 0.250 0.061
H 0.591 0.016 0.258
H 0.971 0.250 0.597
H 0.409 0.984 0.742
H 0.409 0.516 0.742
H 0.029 0.750 0.403


DFT (PBE-GGA) results for an optimized crystal structure of Hf2NiH8.

Calculated values
Density   9.058 g/cm3
Space group   C2/m
Spin magnetization   0.00 μB/cell
Total DFT energy (no corrections)   -54.7 eV for the cell shown

Lattice parameters (Å, degrees): 3.209 4.303 6.319 112.21 104.71 90.00
Atoms (fractional coordinates):
Hf 0.842 0.345 0.684
Hf 0.158 0.655 0.316
Ni 0.500 0.000 0.000
H 0.398 0.618 0.796
H 0.667 0.952 0.334
H 0.774 0.701 0.548
H 0.989 0.226 0.977
H 0.226 0.299 0.452
H 0.333 0.048 0.666
H 0.602 0.382 0.204
H 0.011 0.774 0.023


DFT (PBE-GGA) results for an optimized crystal structure of HfNi2H8.

Calculated values
Density   6.982 g/cm3
Space group   P4/mmm
Spin magnetization   0.00 μB/cell
Total DFT energy (no corrections)   -48.5 eV for the cell shown

Lattice parameters (Å, degrees): 4.145 4.145 4.208 90.00 90.00 90.00
Atoms (fractional coordinates):
Hf 0.500 0.500 0.500
Ni 0.500 0.000 0.000
Ni 0.000 0.500 0.000
H 0.777 0.777 0.221
H 0.777 0.223 0.779
H 0.777 0.777 0.779
H 0.777 0.223 0.221
H 0.223 0.777 0.221
H 0.223 0.777 0.779
H 0.223 0.223 0.221
H 0.223 0.223 0.779


DFT (PBE-GGA) results for an optimized crystal structure of HfNi3H3.

Calculated values
Density   9.752 g/cm3
Space group   Pm-3n
Spin magnetization   0.00 μB/cell
Total DFT energy (no corrections)   -77.1 eV for the cell shown

Lattice parameters (Å, degrees): 4.957 4.957 4.957 90.00 90.00 90.00
Atoms (fractional coordinates):
Hf 0.500 0.500 0.500
Hf 0.000 0.000 0.000
Ni 0.000 0.500 0.750
Ni 0.500 0.250 0.000
Ni 0.750 0.000 0.500
Ni 0.000 0.500 0.250
Ni 0.500 0.750 0.000
Ni 0.250 0.000 0.500
H 0.500 0.000 0.750
H 0.000 0.250 0.500
H 0.750 0.500 0.000
H 0.500 0.000 0.250
H 0.000 0.750 0.500
H 0.250 0.500 0.000


DFT (PBE-GGA) results for an optimized crystal structure of HfNi3H6.

Calculated values
Density   8.489 g/cm3
Space group   R3
Excess energy over the best structure of this formula in the dataset   0.000 eV per atom
Spin magnetization   0.00 μB/cell

Lattice parameters (Å, degrees): 4.423 4.423 4.885 90.00 116.92 120.00
Atoms (fractional coordinates):
Hf 0.786 0.893 0.680
Ni 0.647 0.323 0.970
Ni 0.352 0.676 0.028
Ni 0.222 0.111 0.333
H 0.326 0.430 0.734
H 0.180 0.718 0.263
H 0.802 0.083 0.263
H 0.304 0.896 0.734
H 0.838 0.408 0.734
H 0.544 0.461 0.263